# 1
Computed, not measured: a relaxed structure of BeIr2F2 at the GGA-PBE level of DFT.

Results
space group	P4/mbm, No. 127
polymorph energy (0 for the lowest one)	0.0000	eV/atom
VASP energy	-4.634	eV per atom

Cell: 7.191 7.191 2.700 Å, 90.00 90.00 90.00°
Fractional positions:
Be 0.000 0.000 0.000
Be 0.500 0.500 0.000
Ir 0.114 0.386 0.500
Ir 0.386 0.886 0.500
Ir 0.614 0.114 0.500
Ir 0.886 0.614 0.500
F 0.223 0.723 0.000
F 0.277 0.223 0.000
F 0.723 0.777 0.000
F 0.777 0.277 0.000



# 2
Computed, not measured: a relaxed structure of BeIrF3 at the GGA-PBE level of DFT.

Results
space group	Pm-3m, No. 221
polymorph energy (0 for the lowest one)	0.0000	eV/atom
VASP energy	-4.561	eV per atom

Cell: 3.723 3.723 3.723 Å, 90.00 90.00 90.00°
Fractional positions:
Be 0.000 0.000 0.000
Ir 0.500 0.500 0.500
F 0.000 0.000 0.500
F 0.000 0.500 0.000
F 0.500 0.000 0.000